Version A
Density functional theory data (PBE) for Pm2Hg4Pb after structural relaxation.

```
data_Pm2Hg4Pb
_space_group_name_H-M_alt 'P 1'
_space_group_IT_number 1
_cell_length_a 10.5704
_cell_length_b 10.5704
_cell_length_c 10.5704
_cell_angle_alpha 156.21
_cell_angle_beta 156.21
_cell_angle_gamma 33.89
loop_
_space_group_symop_operation_xyz
'x,y,z'
loop_
_atom_site_label
_atom_site_type_symbol
_atom_site_fract_x
_atom_site_fract_y
_atom_site_fract_z
Pm1 Pm 0.0986 0.0986 0.0000
Pm2 Pm 0.9014 0.9014 0.0000
Hg1 Hg 0.2500 0.7500 0.5000
Hg2 Hg 0.3515 0.3515 0.0000
Hg3 Hg 0.6485 0.6485 0.0000
Hg4 Hg 0.7500 0.2500 0.5000
Pb1 Pb 0.5000 0.5000 0.0000
```



Version B
Density functional theory data (PBE) for Pm2Hg4Pb after structural relaxation.

```
data_Pm2Hg4Pb
_space_group_name_H-M_alt 'P 1'
_space_group_IT_number 1
_cell_length_a 8.4584
_cell_length_b 8.4584
_cell_length_c 8.4584
_cell_angle_alpha 36.16
_cell_angle_beta 36.16
_cell_angle_gamma 36.16
loop_
_space_group_symop_operation_xyz
'x,y,z'
loop_
_atom_site_label
_atom_site_type_symbol
_atom_site_fract_x
_atom_site_fract_y
_atom_site_fract_z
Pm1 Pm 0.2263 0.2263 0.2263
Pm2 Pm 0.7737 0.7737 0.7737
Hg1 Hg 0.0692 0.0692 0.0692
Hg2 Hg 0.3625 0.3625 0.3625
Hg3 Hg 0.6375 0.6375 0.6375
Hg4 Hg 0.9308 0.9308 0.9308
Pb1 Pb 0.5000 0.5000 0.5000
```



Decreasing stability: version B, version A